Entry 1:
Sm3Ga9Co2 | PBE | relaxed

Lattice parameters (Å, degrees): 4.250 8.108 8.108 72.16 74.81 74.81
Fractional positions:
Sm  0.000  0.000  0.000
Sm  0.696  0.304  0.304
Sm  0.304  0.696  0.696
Ga  0.000  0.500  0.500
Ga  0.653  0.986  0.708
Ga  0.347  0.014  0.292
Ga  0.653  0.708  0.986
Ga  0.347  0.292  0.014
Ga  0.872  0.846  0.410
Ga  0.128  0.154  0.590
Ga  0.872  0.410  0.846
Ga  0.128  0.590  0.154
Co  0.500  0.316  0.684
Co  0.500  0.684  0.316

Computed properties:
As for the density of states at the Fermi level: 0.4435 states/eV per atom. Its space-group type is Immm.

=====

Entry 2:
Sm2Ga9Co3 | PBE | relaxed

Lattice parameters (Å, degrees): 7.406 7.406 9.518 90.00 90.00 119.67
Fractional positions:
Sm  0.503  0.831  0.250
Sm  0.497  0.169  0.750
Sm  0.169  0.497  0.750
Sm  0.831  0.503  0.250
Ga  0.163  0.951  0.250
Ga  0.837  0.049  0.750
Ga  0.049  0.837  0.750
Ga  0.951  0.163  0.250
Ga  0.624  0.624  0.750
Ga  0.376  0.376  0.250
Ga  0.165  0.165  0.555
Ga  0.835  0.835  0.055
Ga  0.835  0.835  0.445
Ga  0.165  0.165  0.945
Ga  0.502  0.834  0.571
Ga  0.498  0.166  0.071
Ga  0.166  0.498  0.429
Ga  0.834  0.502  0.929
Ga  0.498  0.166  0.429
Ga  0.502  0.834  0.929
Ga  0.834  0.502  0.571
Ga  0.166  0.498  0.071
Co  0.500  0.500  0.500
Co  0.500  0.500  0.000
Co  0.170  0.830  0.500
Co  0.830  0.170  0.000
Co  0.830  0.170  0.500
Co  0.170  0.830  0.000

Computed properties:
As for the density of states at the Fermi level: 0.5392 states/eV per atom. Its space-group type is Cmcm.

=====

Entry 3:
Sm2Ga9Co3 | PBE | relaxed

Lattice parameters (Å, degrees): 7.428 7.428 10.432 90.09 110.63 120.20
Fractional positions:
Sm  0.334  0.248  0.750
Sm  0.666  0.752  0.250
Sm  0.999  0.585  0.750
Sm  0.001  0.415  0.250
Ga  0.456  0.918  0.749
Ga  0.544  0.082  0.251
Ga  0.669  0.707  0.751
Ga  0.331  0.293  0.249
Ga  0.453  0.644  0.930
Ga  0.547  0.356  0.070
Ga  0.214  0.523  0.570
Ga  0.786  0.477  0.430
Ga  0.880  0.130  0.750
Ga  0.120  0.870  0.250
Ga  0.130  0.983  0.945
Ga  0.870  0.017  0.055
Ga  0.538  0.185  0.555
Ga  0.462  0.815  0.445
Ga  0.878  0.857  0.570
Ga  0.122  0.143  0.430
Ga  0.787  0.308  0.930
Ga  0.213  0.692  0.070
Co  0.500  0.000  0.000
Co  0.500  0.500  0.500
Co  0.839  0.170  0.499
Co  0.161  0.830  0.501
Co  0.171  0.340  0.001
Co  0.829  0.660  0.999

Computed properties:
As for the density of states at the Fermi level: 0.5771 states/eV per atom. Its space-group type is C2/c.

=====

Number 1: energy of formation from the pure elements -0.5152 eV per atom. Number 2: energy of formation from the pure elements -0.4829 eV per atom. Number 3: energy of formation from the pure elements -0.4820 eV per atom.